Entry from the Alexandria database: an optimized crystal structure of Sc3MnN (PBE-GGA).

Calculated values
**Uncorrected formation energy**: -0.523 eV/atom
**Relative energy among the computed polymorphs**: 0.0 kJ/mol of atoms
**Calculated density**: 4.1 g/cm3
**Total moment**: 0.0 Bohr magnetons per cell

a b c (Å): 4.348 4.348 4.348
angles (deg): 90.00 90.00 90.00
Fractional coordinates of all 5 atoms:
Sc: 0.000 0.500 0.000
Sc: 0.000 0.000 0.500
Sc: 0.500 0.000 0.000
Mn: 0.500 0.500 0.500
N: 0.000 0.000 0.000